KMg2Pt PBE relaxed; offset from the most stable computed form = 41 meV per atom; space-group type = No. 123; energy relative to the elements = -272 meV per atom; calculated total energy = -2.854 eV/atom; density = 4.6 Mg/m³
1.0
3.3310 0.0000 0.0000
0.0000 3.3310 0.0000
0.0000 0.0000 9.2903
K Mg Pt
1 2 1
direct
0.0000 0.0000 0.0000
0.5000 0.5000 0.3432
0.5000 0.5000 0.6568
0.0000 0.0000 0.5000